# CoBi | Alexandria | PBE | optimized geometry
# Crystal system: tetragonal
# Total magnetic moment: 0.0 μB/cell
# Total energy: -4.968 eV per atom
# DFT formation energy: 0.526 eV per atom
# N(E_F): 1.2825 states/eV/atom
data_CoBi
_symmetry_space_group_name_H-M 'P 42/m n m'
_symmetry_Int_Tables_number 136
_symmetry_space_group_name_Hall '-P 4n 2n'
_cell_length_a 5.3279
_cell_length_b 5.3279
_cell_length_c 5.4798
_cell_angle_alpha 90.00
_cell_angle_beta 90.00
_cell_angle_gamma 90.00
loop_
_atom_site_label
_atom_site_type_symbol
_atom_site_fract_x
_atom_site_fract_y
_atom_site_fract_z
_atom_site_occupancy
Co1 Co 0.2072 0.2072 0.0000 1
Bi1 Bi 0.2206 0.2206 0.5000 1